1.
Entry from OQMD: LiZr2Nb after structural relaxation (PBE).

The structure in extended XYZ format:
```
4
Lattice="-1.877 2.349 3.723 1.101 4.600 0.729 -3.295 3.393 -0.727" Properties=species:S:1:pos:R:3 pbc="T T T"
Li -2.035 5.171 1.863
Nb -1.018 2.585 0.931
Zr 0.000 0.000 0.000
Zr -3.053 7.757 2.794
```

Summary:
**Energy**: -27.78 eV per cell

---

2.
Entry from OQMD: CdTePbO after structural relaxation (PBE).

The structure in extended XYZ format:
```
8
Lattice="-0.434 4.120 1.335 -3.510 0.452 -2.534 -6.380 -3.343 8.240" Properties=species:S:1:pos:R:3 pbc="T T T"
Cd -3.190 -1.672 4.120
Cd -5.162 0.614 3.521
O 0.000 0.000 0.000
O -1.972 2.286 -0.600
Pb -0.831 1.738 1.461
Pb -7.521 -2.796 6.180
Te -3.832 -0.863 1.416
Te -4.520 -0.195 6.225
```

Summary:
**Energy**: -30.76 eV per cell
**Energy relative to the lowest polymorph listed for this composition**: 0.04 eV per formula unit

---

3.
Entry from OQMD: KCuMoS3 after structural relaxation (PBE).

The structure in extended XYZ format:
```
12
Lattice="7.048 -1.849 0.000 7.048 1.849 0.000 0.000 0.000 9.447" Properties=species:S:1:pos:R:3 pbc="T T T"
Cu 7.492 0.000 2.362
Cu 6.605 0.000 7.085
K 3.526 0.000 2.362
K 10.571 0.000 7.085
Mo 0.000 0.000 0.000
Mo 0.000 0.000 4.723
S 8.678 0.000 0.451
S 13.163 0.000 2.362
S 8.678 0.000 4.273
S 5.419 0.000 5.174
S 0.934 0.000 7.085
S 5.419 0.000 8.996
```

Summary:
**Energy**: -63.50 eV per cell

---

4.
Entry from OQMD: Co3Ir after structural relaxation (PBE).

The structure in extended XYZ format:
```
4
Lattice="-3.836 0.521 1.374 0.259 -3.540 2.067 1.016 1.417 2.299" Properties=species:S:1:pos:R:3 pbc="T T T"
Co -1.788 -1.509 1.720
Co -1.410 0.969 1.837
Co 0.638 -1.062 2.183
Ir 0.000 0.000 0.000
```

Summary:
**Calculated formation energy**: 0.64 eV/f.u.
**Energy**: -29.53 eV per cell

---

5.
Entry from OQMD: Cd2HgS2 after structural relaxation (PBE).

The structure in extended XYZ format:
```
10
Lattice="-3.641 6.179 2.729 3.641 -6.179 2.729 3.641 6.179 -2.729" Properties=species:S:1:pos:R:3 pbc="T T T"
Cd 1.323 -2.011 4.070
Cd 1.323 2.011 1.341
Cd 2.318 4.168 -1.388
Cd 2.318 8.191 1.341
Hg 0.000 6.179 2.705
Hg 3.641 0.000 2.705
S 1.236 -1.820 1.341
S 1.236 1.820 4.070
S 2.405 4.360 1.341
S 2.405 7.999 -1.388
```

Summary:
**Energy**: -23.18 eV per cell

---

6.
Entry from OQMD: NaZnTeIr after structural relaxation (PBE).

The structure in extended XYZ format:
```
4
Lattice="1.903 -4.082 -1.420 -0.010 -3.740 2.884 -2.780 -3.700 -0.941" Properties=species:S:1:pos:R:3 pbc="T T T"
Ir 0.000 0.000 0.000
Na -0.665 -8.642 0.392
Te -0.443 -5.761 0.262
Zn -0.222 -2.881 0.131
```

Summary:
**Energy**: -13.15 eV per cell
**Energy relative to the lowest polymorph listed for this composition**: 1.35 eV per formula unit

---

7.
Entry from OQMD: NaPrBi after structural relaxation (PBE).

The structure in extended XYZ format:
```
3
Lattice="0.000 3.773 3.773 3.773 0.000 3.773 3.773 3.773 0.000" Properties=species:S:1:pos:R:3 pbc="T T T"
Bi 1.887 1.887 1.887
Na 5.660 5.660 5.660
Pr 0.000 0.000 0.000
```

Summary:
**Energy**: -10.77 eV per cell

---

8.
Entry from OQMD: PrTlHgTe3 after structural relaxation (PBE).

The structure in extended XYZ format:
```
12
Lattice="8.843 0.000 0.000 0.000 4.524 0.000 -3.137 0.000 10.677" Properties=species:S:1:pos:R:3 pbc="T T T"
Hg 4.808 1.131 1.274
Hg 0.898 3.393 9.403
Pr 5.992 3.393 3.834
Pr -0.285 1.131 6.844
Te 6.479 3.393 0.544
Te -0.609 1.131 3.711
Te 3.708 1.131 3.874
Te 1.999 3.393 6.804
Te 6.316 3.393 6.966
Te -0.773 1.131 10.134
Tl 1.471 3.393 2.249
Tl 4.236 1.131 8.428
```

Summary:
**Energy**: -42.35 eV per cell
**Energy relative to the lowest polymorph listed for this composition**: 0.15 eV per formula unit